{"formula": "MgSiP2", "functional": "PBE", "state": "relaxed", "lattice_angstrom": [[1.436, 0.829, 9.026], [-1.436, 0.829, 9.026], [0.000, -1.658, 9.026]], "species": ["Mg", "Si", "P", "P"], "fractional_positions": [[0.000, 0.000, 0.000], [0.500, 0.500, 0.500], [0.255, 0.255, 0.255], [0.745, 0.745, 0.745]], "energy_ev_per_fu": -16.19, "spacegroup": "R-3m (166)", "raw_formation_energy_kj_per_mol_fu": 159}

{"formula": "MgSiP2", "functional": "PBE", "state": "relaxed", "lattice_angstrom": [[0.000, 3.178, 3.178], [3.178, 0.000, 3.178], [3.178, 3.178, 0.000]], "species": ["Mg", "Si", "P", "P"], "fractional_positions": [[0.000, 0.000, 0.000], [0.500, 0.500, 0.500], [0.250, 0.250, 0.250], [0.750, 0.750, 0.750]], "energy_ev_per_fu": -16.71, "spacegroup": "Fm-3m (225)", "raw_formation_energy_kj_per_mol_fu": 109}

{"formula": "MgSiP2", "functional": "PBE", "state": "relaxed", "lattice_angstrom": [[6.598, 0.000, 0.000], [0.000, 8.081, 0.000], [0.000, 0.000, 6.384]], "species": ["Mg", "Mg", "Mg", "Mg", "Si", "Si", "Si", "Si", "P", "P", "P", "P", "P", "P", "P", "P"], "fractional_positions": [[0.090, 0.121, 0.000], [0.410, 0.621, 0.500], [0.590, 0.379, 0.000], [0.910, 0.879, 0.500], [0.069, 0.626, 0.997], [0.431, 0.126, 0.497], [0.569, 0.874, 0.997], [0.931, 0.374, 0.497], [0.051, 0.608, 0.642], [0.102, 0.145, 0.601], [0.398, 0.645, 0.101], [0.449, 0.108, 0.142], [0.551, 0.892, 0.642], [0.602, 0.355, 0.601], [0.898, 0.855, 0.101], [0.949, 0.392, 0.142]], "energy_ev_per_fu": -19.52, "spacegroup": "Pna2_1 (33)", "raw_formation_energy_kj_per_mol_fu": -163}

{"formula": "MgSiP", "functional": "PBE", "state": "relaxed", "lattice_angstrom": [[-1.590, 1.590, 4.939], [1.590, -1.590, 4.939], [1.590, 1.590, -4.939]], "species": ["Mg", "Si", "P"], "fractional_positions": [[0.000, 0.000, 0.000], [0.700, 0.700, 0.000], [0.307, 0.307, 0.000]], "energy_ev_per_fu": -12.29, "spacegroup": "I4mm (107)", "raw_formation_energy_kj_per_mol_fu": 13}

{"formula": "MgSiP2", "functional": "PBE", "state": "relaxed", "lattice_angstrom": [[3.476, 0.000, 0.000], [0.000, 3.869, 0.000], [0.000, 0.000, 4.808]], "species": ["Mg", "Si", "P", "P"], "fractional_positions": [[0.000, 0.000, 0.000], [0.000, 0.500, 0.500], [0.500, 0.000, 0.500], [0.500, 0.500, 0.000]], "energy_ev_per_fu": -16.90, "spacegroup": "Pmmm (47)", "raw_formation_energy_kj_per_mol_fu": 90}

{"formula": "MgSiP2", "functional": "PBE", "state": "relaxed", "lattice_angstrom": [[1.697, 0.980, 6.811], [-1.697, 0.980, 6.811], [0.000, -1.960, 6.811]], "species": ["Mg", "Si", "P", "P"], "fractional_positions": [[0.000, 0.000, 0.000], [0.766, 0.766, 0.766], [0.241, 0.241, 0.241], [0.504, 0.504, 0.504]], "energy_ev_per_fu": -17.62, "spacegroup": "R3m (160)", "raw_formation_energy_kj_per_mol_fu": 21}

{"formula": "MgSiP2", "functional": "PBE", "state": "relaxed", "lattice_angstrom": [[1.751, 1.011, 6.309], [-1.751, 1.011, 6.309], [0.000, -2.022, 6.309]], "species": ["Mg", "Si", "P", "P"], "fractional_positions": [[0.000, 0.000, 0.000], [0.500, 0.500, 0.500], [0.238, 0.238, 0.238], [0.762, 0.762, 0.762]], "energy_ev_per_fu": -18.66, "spacegroup": "R-3m (166)", "raw_formation_energy_kj_per_mol_fu": -79}

{"formula": "MgSiP", "functional": "PBE", "state": "relaxed", "lattice_angstrom": [[3.327, 0.000, 0.000], [-1.663, 2.881, 0.000], [0.000, 0.000, 10.918]], "species": ["Mg", "Mg", "Si", "Si", "P", "P"], "fractional_positions": [[0.000, 0.000, 0.187], [0.000, 0.000, 0.813], [0.667, 0.333, 0.000], [0.667, 0.333, 0.500], [0.333, 0.667, 0.362], [0.333, 0.667, 0.638]], "energy_ev_per_fu": -12.28, "spacegroup": "P-6m2 (187)", "raw_formation_energy_kj_per_mol_fu": 14}

{"formula": "MgSiP2", "functional": "PBE", "state": "relaxed", "lattice_angstrom": [[3.393, 0.000, 0.000], [0.000, 3.393, 0.000], [0.000, 0.000, 6.393]], "species": ["Mg", "Si", "P", "P"], "fractional_positions": [[0.000, 0.000, 0.000], [0.500, 0.500, 0.501], [0.000, 0.000, 0.597], [0.500, 0.500, 0.149]], "energy_ev_per_fu": -18.52, "spacegroup": "P4mm (99)", "raw_formation_energy_kj_per_mol_fu": -66}

{"formula": "MgSiP", "functional": "PBE", "state": "relaxed", "lattice_angstrom": [[0.000, 3.096, 3.096], [3.096, 0.000, 3.096], [3.096, 3.096, 0.000]], "species": ["Mg", "Si", "P"], "fractional_positions": [[0.000, 0.000, 0.000], [0.500, 0.500, 0.500], [0.750, 0.750, 0.750]], "energy_ev_per_fu": -11.73, "spacegroup": "F-43m (216)", "raw_formation_energy_kj_per_mol_fu": 67}

{"formula": "MgSiP2", "functional": "PBE", "state": "relaxed", "lattice_angstrom": [[2.735, -3.565, 0.000], [2.735, 3.565, 0.000], [-1.284, 0.000, 3.420]], "species": ["Mg", "Si", "P", "P"], "fractional_positions": [[0.000, 0.000, 0.000], [0.500, 0.500, 0.000], [0.000, 0.500, 0.500], [0.500, 0.000, 0.500]], "energy_ev_per_fu": -17.22, "spacegroup": "C2/m (12)", "raw_formation_energy_kj_per_mol_fu": 60}

{"formula": "MgSiP", "functional": "PBE", "state": "relaxed", "lattice_angstrom": [[3.929, 0.000, 0.000], [1.266, 5.478, 0.000], [1.384, 1.881, 5.925]], "species": ["Mg", "Mg", "Si", "Si", "P", "P"], "fractional_positions": [[0.000, 0.000, 0.000], [0.231, 0.818, 0.512], [0.000, 0.527, 0.320], [0.527, 0.290, 0.479], [0.388, 0.231, 0.170], [0.612, 0.912, 0.747]], "energy_ev_per_fu": -12.95, "spacegroup": "P1 (1)", "raw_formation_energy_kj_per_mol_fu": -50}

{"formula": "MgSiP4", "functional": "PBE", "state": "relaxed", "lattice_angstrom": [[0.000, 3.617, 3.617], [3.617, 0.000, 3.617], [3.617, 3.617, 0.000]], "species": ["Mg", "Si", "P", "P", "P", "P"], "fractional_positions": [[0.000, 0.000, 0.000], [0.250, 0.250, 0.250], [0.121, 0.626, 0.626], [0.626, 0.121, 0.626], [0.626, 0.626, 0.121], [0.626, 0.626, 0.626]], "energy_ev_per_fu": -25.53, "spacegroup": "F-43m (216)", "raw_formation_energy_kj_per_mol_fu": 301}

{"formula": "MgSiP", "functional": "PBE", "state": "relaxed", "lattice_angstrom": [[3.498, 0.000, 0.000], [-1.749, 3.030, 0.000], [0.000, 0.000, 5.186]], "species": ["Mg", "Si", "P"], "fractional_positions": [[0.000, 0.000, 0.000], [0.333, 0.667, 0.399], [0.667, 0.333, 0.633]], "energy_ev_per_fu": -12.73, "spacegroup": "P3m1 (156)", "raw_formation_energy_kj_per_mol_fu": -29}